VASP calculation (GGA-PBE) on crystalline Li3PN at its relaxed geometry.

Summary:
The total energy comes out at -3.91 eV/atom. The value obtained for the formation energy without anion corrections is -0.016 eV/atom. The value obtained for the magnetization is 0.0 μB/cell. The density of states at the Fermi level is 3.69 states/eV/f.u. Its space group is Pm-3m (221). The calculation puts the energy above the most stable polymorph in this dataset at 0.00 eV/f.u.

a = 3.906 Å, b = 3.906 Å, c = 3.906 Å
α = 90.00°, β = 90.00°, γ = 90.00°
Sites, in units of the cell vectors:
P: 0.500 0.500 0.500
Li: 0.000 0.500 0.000
Li: 0.000 0.000 0.500
Li: 0.500 0.000 0.000
N: 0.000 0.000 0.000